# 1
The following is a GGA-PBE calculation of CsMgMoIr after structural relaxation, from OQMD via LeMat-Bulk.

a b c (Å): 4.8385 4.8385 4.8385
angles (deg): 60.00 60.00 60.00
Fractional positions:
Cs 0.0000 0.0000 0.0000
Mg 0.2500 0.2500 0.2500
Mo 0.7500 0.7500 0.7500
Ir 0.5000 0.5000 0.5000

Calculated values
Energy above the most stable polymorph in this dataset: 0.000 eV per atom
Magnetization: 0.0 Bohr magnetons per cell

# 2
The following is a GGA-PBE calculation of CsMgMoIr after structural relaxation, from OQMD via LeMat-Bulk.

a b c (Å): 5.0409 5.0409 5.0409
angles (deg): 60.00 60.00 60.00
Fractional positions:
Cs 0.0000 0.0000 0.0000
Mg 0.7500 0.7500 0.7500
Mo 0.5000 0.5000 0.5000
Ir 0.2500 0.2500 0.2500

Calculated values
Energy above the most stable polymorph in this dataset: 0.214 eV per atom
Magnetization: 3.5 Bohr magnetons per cell

Calculated final energy, -4.273; -4.059 eV/atom (same order as the records).